First-principles (PBE-GGA) data for a geometry-optimized AgAuCS2 structure, as listed in Alexandria via LeMat-Bulk.

For the uncorrected formation energy, the calculation gives 0.28 eV/atom. The total magnetization comes out at 0.0 Bohr magnetons per cell.

It has space group P1 (No. 1), with a = 4.251 Å, b = 5.324 Å, c = 5.924 Å, α = 112.24°, β = 110.14° and γ = 90.51°. The distinct sites, in fractional coordinates, are Ag at (0.000, 0.000, 0.000), Au at (0.713, 0.656, 0.440), C at (0.769, 0.336, 0.549), S at (0.642, 0.014, 0.300) and S at (0.934, 0.411, 0.871).

First-principles (PBE-GGA) data for a geometry-optimized AgAuCS2 structure, as listed in Alexandria via LeMat-Bulk.

For the uncorrected formation energy, the calculation gives 0.54 eV/atom. The total magnetization comes out at 0.0 Bohr magnetons per cell.

It has space group P1 (No. 1), with a = 4.215 Å, b = 5.443 Å, c = 6.173 Å, α = 96.29°, β = 106.45° and γ = 107.37°. The distinct sites, in fractional coordinates, are Ag at (0.000, 0.000, 0.000), Au at (0.660, 0.406, 0.974), C at (0.960, 0.733, 0.221), S at (0.088, 0.746, 0.492) and S at (0.148, 0.149, 0.668).

First-principles (PBE-GGA) data for a geometry-optimized AgAuCS2 structure, as listed in Alexandria via LeMat-Bulk.

For the uncorrected formation energy, the calculation gives 0.57 eV/atom. The total magnetization comes out at 0.0 Bohr magnetons per cell.

It has space group P1 (No. 1), with a = 4.168 Å, b = 5.337 Å, c = 6.401 Å, α = 87.85°, β = 73.82° and γ = 73.83°. The distinct sites, in fractional coordinates, are Ag at (0.000, 0.000, 0.000), Au at (0.532, 0.125, 0.594), C at (0.690, 0.241, 0.268), S at (0.367, 0.490, 0.363) and S at (0.639, 0.807, 0.830).

First-principles (PBE-GGA) data for a geometry-optimized AgAuCS2 structure, as listed in Alexandria via LeMat-Bulk.

For the uncorrected formation energy, the calculation gives 0.70 eV/atom. The total magnetization comes out at 0.0 Bohr magnetons per cell. The density of states at the Fermi level comes out at 0.352 states/eV per atom.

It has space group P1 (No. 1), with a = 3.842 Å, b = 4.812 Å, c = 5.065 Å, α = 83.74°, β = 88.22° and γ = 87.58°. The distinct sites, in fractional coordinates, are Ag at (0.000, 0.000, 0.000), Au at (0.543, 0.532, 0.108), C at (0.482, 0.081, 0.194), S at (0.488, 0.021, 0.529) and S at (0.637, 0.599, 0.603).

- total magnetization of number 2 (AgAuCS2)?
  0.0 Bohr magnetons per cell

Repeat the fourth record exactly.
First-principles (PBE-GGA) data for a geometry-optimized AgAuCS2 structure, as listed in Alexandria via LeMat-Bulk.

For the uncorrected formation energy, the calculation gives 0.70 eV/atom. The total magnetization comes out at 0.0 Bohr magnetons per cell. The density of states at the Fermi level comes out at 0.352 states/eV per atom.

It has space group P1 (No. 1), with a = 3.842 Å, b = 4.812 Å, c = 5.065 Å, α = 83.74°, β = 88.22° and γ = 87.58°. The distinct sites, in fractional coordinates, are Ag at (0.000, 0.000, 0.000), Au at (0.543, 0.532, 0.108), C at (0.482, 0.081, 0.194), S at (0.488, 0.021, 0.529) and S at (0.637, 0.599, 0.603).

- Which value of total magnetization does entry 1 give?
  0.0 Bohr magnetons per cell